{
  "formula": "NaSnI2",
  "functional": "GGA-PBE",
  "state": "relaxed",
  "lattice_angstrom": [[4.629, 0.000, 0.000], [-2.304, 8.230, 0.000], [-1.854, -2.170, 8.375]],
  "species": ["Na", "Na", "Sn", "Sn", "I", "I", "I", "I"],
  "fractional_positions": [[0.000, 0.000, 0.000], [0.350, 0.565, 0.369], [0.452, 0.489, 0.005], [0.625, 0.447, 0.697], [0.274, 0.747, 0.773], [0.697, 0.247, 0.178], [0.955, 0.788, 0.261], [0.957, 0.181, 0.691]],
  "volume_a3_per_atom": 39.89,
  "spacegroup": "P1, No. 1",
  "raw_formation_energy_ev_per_atom": -0.668
}